Entry from Alexandria via LeMat-Bulk: an optimized crystal structure of PtAuN2F (GGA-PBE).

Density of states at the Fermi level (states/eV/cell): 4.08
Offset from the most stable computed form (meV/atom): 828.9
DFT total energy (eV/atom): -3.738

a = 4.0465 Å, b = 4.0465 Å, c = 4.0473 Å
α = 90.00°, β = 90.00°, γ = 90.00°
Element x y z (fractional)
Au  0.0000  0.0000  0.0000
N  0.5000  0.0000  0.0000
Pt  0.5000  0.5000  0.5000
F  0.0000  0.0000  0.5000
N  0.0000  0.5000  0.0000



Entry from Alexandria via LeMat-Bulk: an optimized crystal structure of PtAuN2F (GGA-PBE).

Density of states at the Fermi level (states/eV/cell): 2.95
Offset from the most stable computed form (meV/atom): 0.0
DFT total energy (eV/atom): -4.567

a = 3.7138 Å, b = 3.7138 Å, c = 6.1396 Å
α = 90.00°, β = 90.00°, γ = 90.00°
Element x y z (fractional)
N  0.0000  0.5000  0.0000
Pt  0.0000  0.0000  0.0000
F  0.0000  0.0000  0.5000
N  0.5000  0.0000  0.0000
Au  0.5000  0.5000  0.5000



no.,spin magnetization (μB/atom),uncorrected formation energy (eV per atom)
1,0.000,1.830
2,0.000,1.001